No. 1
VASP calculation (PBE) on a relaxed YAl2GaS6 crystal.

Cell: 7.034 8.393 8.393 Å, 81.12 72.64 72.64°
Element x y z (fractional)
S: 0.939 0.382 0.884
S: 0.851 0.054 0.175
S: 0.030 0.726 0.544
S: 0.439 0.884 0.382
S: 0.530 0.544 0.726
S: 0.561 0.116 0.618
S: 0.149 0.946 0.825
S: 0.970 0.274 0.456
S: 0.351 0.175 0.054
S: 0.470 0.456 0.274
S: 0.061 0.618 0.116
S: 0.649 0.825 0.946
Al: 0.799 0.625 0.749
Al: 0.299 0.749 0.625
Al: 0.701 0.251 0.375
Al: 0.201 0.375 0.251
Y: 0.250 0.844 0.156
Y: 0.750 0.156 0.844
Ga: 0.750 0.807 0.193
Ga: 0.250 0.193 0.807

Calculated values
E: -105.95 eV for the cell shown
formation energy (no corrections): -1.123 eV per atom
density: 2.99 g/cm³

---

No. 2
VASP calculation (PBE) on a relaxed Mn3NiBi crystal.

Cell: 4.585 4.585 4.585 Å, 90.00 90.00 90.00°
Element x y z (fractional)
Bi: 0.500 0.500 0.500
Mn: 0.500 0.000 0.000
Mn: 0.000 0.500 0.000
Mn: 0.000 0.000 0.500
Ni: 0.000 0.000 0.000

Calculated values
E above lowest polymorph: 0.0 kJ/mol of atoms
E: -34.43 eV for the cell shown
density: 7.45 g/cm³